! MoSOF2 | Alexandria via LeMat-Bulk | PBE with a Hubbard U | optimized geometry; values from VASP
! ΔE to the lowest computed polymorph = 0 kJ/mol of formula units
! Uncorrected energy = -5.020 eV/atom
&SYSTEM
  ibrav = 0, nat = 5, ntyp = 4
/
ATOMIC_SPECIES
F 19.00 F.upf
O 16.00 O.upf
Mo 95.94 Mo.upf
S 32.06 S.upf
ATOMIC_POSITIONS angstrom
F 0.000 2.140 0.000
F 2.140 0.000 0.000
O 0.000 0.000 1.984
Mo 0.000 0.000 0.000
S 2.140 2.140 1.984
CELL_PARAMETERS angstrom
4.280 0.000 0.000
0.000 4.280 0.000
0.000 0.000 3.967